[1]
Cr2NiSnPd | PBE | optimized geometry

a = 4.862 Å, b = 4.862 Å, c = 4.918 Å
α = 90.00°, β = 90.00°, γ = 90.00°
Fractional coordinates of all 5 atoms:
Cr: 0.000 0.500 0.000
Cr: 0.500 0.000 0.000
Ni: 0.000 0.000 0.500
Sn: 0.500 0.500 0.500
Pd: 0.500 0.500 0.000

Calculated values
Energy of formation from the pure elements, eV/atom: 1.15
Symmetry: P4/mmm (123)
Crystal system: tetragonal
Calculated density, Mg/m³: 5.54
E, eV/atom: -5.69

[2]
TaCrNiPd2 | PBE | optimized geometry

a = 4.517 Å, b = 4.517 Å, c = 4.399 Å
α = 90.00°, β = 90.00°, γ = 90.00°
Fractional coordinates of all 5 atoms:
Ta: 0.000 0.000 0.000
Cr: 0.500 0.500 0.000
Ni: 0.000 0.000 0.500
Pd: 0.000 0.500 0.500
Pd: 0.500 0.000 0.500

Calculated values
Energy of formation from the pure elements, eV/atom: 1.20
Symmetry: P4/mmm (123)
Crystal system: tetragonal
Calculated density, Mg/m³: 9.33
E, eV/atom: -6.33

[3]
Tl2CrNiPd | PBE | optimized geometry

a = 4.816 Å, b = 4.816 Å, c = 4.802 Å
α = 90.00°, β = 90.00°, γ = 90.00°
Fractional coordinates of all 5 atoms:
Tl: 0.000 0.500 0.000
Tl: 0.500 0.000 0.000
Cr: 0.000 0.000 0.500
Ni: 0.500 0.500 0.000
Pd: 0.500 0.500 0.500

Calculated values
Energy of formation from the pure elements, eV/atom: 1.14
Symmetry: P4/mmm (123)
Crystal system: tetragonal
Calculated density, Mg/m³: 9.33
E, eV/atom: -3.92

[4]
VCrNiPd | PBE | optimized geometry

a = 4.215 Å, b = 4.215 Å, c = 4.215 Å
α = 60.00°, β = 60.00°, γ = 60.00°
Fractional coordinates of all 4 atoms:
V: 0.000 0.000 0.000
Cr: 0.750 0.750 0.750
Ni: 0.250 0.250 0.250
Pd: 0.500 0.500 0.500

Calculated values
Energy of formation from the pure elements, eV/atom: 0.06
Symmetry: F-43m (216)
Crystal system: cubic
Calculated density, Mg/m³: 8.41
E, eV/atom: -7.37